Entry 1:
The following is a GGA-PBE calculation of PuTi2Pd3 after structural relaxation, from Alexandria.

Properties
DFT formation energy, eV/atom: -0.4631
Crystal system: tetragonal
SG: P4/mmm, No. 123

Lattice parameters (Å, degrees): 3.195 3.195 10.461 90.00 90.00 90.00
Element x y z (fractional)
Pd 0.000 0.000 0.287
Pd 0.000 0.000 0.000
Pd 0.000 0.000 0.713
Ti 0.500 0.500 0.848
Ti 0.500 0.500 0.152
Pu 0.500 0.500 0.500

Entry 2:
The following is a GGA-PBE calculation of In3TcAs after structural relaxation, from Alexandria.

Properties
Relative energy among the computed polymorphs, meV/atom: 0
DFT formation energy, eV/atom: 0.6350
Crystal system: cubic
SG: Pm-3m, No. 221

Lattice parameters (Å, degrees): 5.222 5.222 5.222 90.00 90.00 90.00
Element x y z (fractional)
As 0.500 0.500 0.500
In 0.000 0.000 0.500
In 0.500 0.000 0.000
In 0.000 0.500 0.000
Tc 0.000 0.000 0.000

| no. | magnetic moment (μB/atom) | calculated total energy (eV per atom) |
| --- | --- | --- |
| 1 | 0.825 | -8.080 |
| 2 | 0.528 | -4.011 |